VASP calculation (GGA-PBE) on a relaxed PrTh2Ag6 crystal.

a = 8.461 Å, b = 8.461 Å, c = 3.422 Å
α = 90.00°, β = 90.00°, γ = 120.00°
Positions (direct):
Pr (0.000, 0.000, 0.000)
Th (0.333, 0.667, 0.000)
Th (0.667, 0.333, 0.000)
Ag (0.000, 0.334, 0.500)
Ag (0.000, 0.666, 0.500)
Ag (0.334, 0.000, 0.500)
Ag (0.334, 0.334, 0.500)
Ag (0.666, 0.000, 0.500)
Ag (0.666, 0.666, 0.500)

Its calculated density is 9.8 Mg/m³. The value obtained for the uncorrected energy is -38.3 eV for the cell shown. The spin magnetization is 0.0 Bohr magnetons per cell.

VASP calculation (GGA-PBE) on a relaxed BeCu2 crystal.

a = 4.770 Å, b = 4.770 Å, c = 7.372 Å
α = 90.00°, β = 90.00°, γ = 120.00°
Positions (direct):
Be (0.333, 0.667, 0.054)
Be (0.333, 0.667, 0.446)
Be (0.667, 0.333, 0.554)
Be (0.667, 0.333, 0.946)
Cu (0.000, 0.000, 0.000)
Cu (0.000, 0.000, 0.500)
Cu (0.173, 0.345, 0.750)
Cu (0.173, 0.827, 0.750)
Cu (0.345, 0.173, 0.250)
Cu (0.655, 0.827, 0.750)
Cu (0.827, 0.173, 0.250)
Cu (0.827, 0.655, 0.250)

Its calculated density is 6.2 Mg/m³. The value obtained for the uncorrected energy is -43.6 eV for the cell shown. The spin magnetization is 0.0 Bohr magnetons per cell.

VASP calculation (GGA-PBE) on a relaxed Te2H2F crystal.

a = 7.114 Å, b = 7.114 Å, c = 3.847 Å
α = 90.00°, β = 90.00°, γ = 90.00°
Positions (direct):
Te (0.243, 0.257, 0.000)
Te (0.257, 0.757, 0.000)
Te (0.743, 0.243, 0.000)
Te (0.757, 0.743, 0.000)
H (0.211, 0.711, 0.500)
H (0.289, 0.211, 0.500)
H (0.711, 0.789, 0.500)
H (0.789, 0.289, 0.500)
F (0.000, 0.000, 0.000)
F (0.500, 0.500, 0.000)

Its calculated density is 4.7 Mg/m³. The spin magnetization is 0.0 Bohr magnetons per cell. The excess energy over the best structure of this formula in the dataset comes out at 0.00 eV/f.u.

VASP calculation (GGA-PBE) on a relaxed BaCu2Ag crystal.

a = 9.697 Å, b = 9.697 Å, c = 9.697 Å
α = 150.95°, β = 150.95°, γ = 41.54°
Positions (direct):
Ba (0.375, 0.625, 0.750)
Ba (0.625, 0.375, 0.250)
Cu (0.000, 0.000, 0.000)
Cu (0.000, 0.000, 0.500)
Cu (0.000, 0.500, 0.000)
Cu (0.500, 0.000, 0.500)
Ag (0.125, 0.875, 0.250)
Ag (0.875, 0.125, 0.750)

Its calculated density is 5.8 Mg/m³. The value obtained for the uncorrected energy is -25.6 eV for the cell shown. The spin magnetization is 0.0 Bohr magnetons per cell.